Record 1
This record from Alexandria via LeMat-Bulk describes Sm4BiP2 after structural relaxation. The functional is PBE-GGA.

Structure (extended XYZ):
```
14
Lattice="2.110 -6.768 0.000 2.110 6.768 0.000 0.000 0.000 13.913" Properties=species:S:1:pos:R:3 pbc="T T T"
Sm 0.000 0.000 0.000
Sm 0.000 0.000 6.956
Sm 2.110 3.193 8.543
Sm 2.110 3.193 12.327
Sm 2.110 0.879 3.478
Sm 2.110 -0.879 10.435
Sm 2.110 -3.193 1.586
Sm 2.110 -3.193 5.370
Bi 2.110 5.301 3.478
Bi 2.110 -5.301 10.435
P 2.110 1.820 0.831
P 2.110 1.820 6.126
P 2.110 -1.820 7.787
P 2.110 -1.820 13.082
```

Calculated values
- V (Å³/cell) = 397.4
- formation energy (eV per atom) = -1.20
- crystal system = orthorhombic
- space group = Cmcm

Record 2
This record from Alexandria via LeMat-Bulk describes Sm3BiP after structural relaxation. The functional is PBE-GGA.

Structure (extended XYZ):
```
20
Lattice="8.719 0.000 0.000 0.000 4.307 0.000 0.000 0.000 15.311" Properties=species:S:1:pos:R:3 pbc="T T T"
Sm 0.202 1.077 1.653
Sm 1.407 1.077 7.903
Sm 1.673 3.230 4.385
Sm 2.687 1.077 12.040
Sm 2.952 3.230 0.247
Sm 4.157 3.230 9.309
Sm 4.562 1.077 6.002
Sm 5.767 1.077 15.063
Sm 6.032 3.230 3.271
Sm 7.047 1.077 10.926
Sm 7.312 3.230 7.408
Sm 8.517 3.230 13.657
Bi 0.787 3.230 10.375
Bi 3.572 1.077 2.720
Bi 5.147 3.230 12.591
Bi 7.932 1.077 4.935
P 1.487 1.077 14.471
P 2.873 3.230 6.816
P 5.846 1.077 8.495
P 7.233 3.230 0.839
```

Calculated values
- V (Å³/cell) = 575.0
- formation energy (eV per atom) = -1.03
- crystal system = orthorhombic
- space group = Pnma